{
  "formula": "SnAs2Pd",
  "functional": "GGA-PBE",
  "state": "optimized geometry",
  "formation_enthalpy_0k_ev_per_atom": 0.29,
  "cell": [[1.860, 1.074, 8.228], [-1.860, 1.074, 8.228], [0.000, -2.148, 8.228]],
  "species": ["Sn", "As", "As", "Pd"],
  "frac_coords": [[0.000, 0.000, 0.000], [0.404, 0.404, 0.404], [0.596, 0.596, 0.596], [0.500, 0.500, 0.500]]
}



{
  "formula": "SnAs2Pd",
  "functional": "GGA-PBE",
  "state": "optimized geometry",
  "formation_enthalpy_0k_ev_per_atom": -0.10,
  "cell": [[-2.966, 2.966, 5.949], [2.966, -2.966, 5.949], [2.966, 2.966, -5.949]],
  "species": ["Sn", "Sn", "As", "As", "As", "As", "Pd", "Pd"],
  "frac_coords": [[0.000, 0.000, 0.000], [0.750, 0.250, 0.500], [0.164, 0.625, 0.039], [0.375, 0.414, 0.539], [0.586, 0.125, 0.961], [0.875, 0.836, 0.461], [0.250, 0.750, 0.500], [0.500, 0.500, 0.000]]
}



{
  "formula": "SnAs2Pd8",
  "functional": "GGA-PBE",
  "state": "optimized geometry",
  "polymorph_energy_mev_per_atom": 23,
  "formation_enthalpy_0k_ev_per_atom": -0.39,
  "cell": [[3.767, -5.584, 0.000], [3.767, 5.584, 0.000], [-1.291, 0.000, 4.330]],
  "species": ["Sn", "As", "As", "Pd", "Pd", "Pd", "Pd", "Pd", "Pd", "Pd", "Pd"],
  "frac_coords": [[0.000, 0.000, 0.000], [0.323, 0.677, 0.500], [0.677, 0.323, 0.500], [0.068, 0.322, 0.593], [0.240, 0.760, 0.000], [0.322, 0.068, 0.593], [0.376, 0.376, 0.172], [0.624, 0.624, 0.828], [0.678, 0.932, 0.407], [0.760, 0.240, 0.000], [0.932, 0.678, 0.407]]
}